(1)
Compound: Cs3CuAu2Br6
Source: Alexandria
Functional: PBE
Structure: relaxed

a b c (Å): 8.1268 8.1268 9.2967
angles (deg): 90.00 90.00 120.00
Atoms (fractional coordinates):
Cs: 0.3333 0.6667 0.6690
Cs: 0.6667 0.3333 0.3310
Cs: 0.0000 0.0000 0.0000
Cu: 0.0000 0.0000 0.5000
Au: 0.6667 0.3333 0.7045
Au: 0.3333 0.6667 0.2955
Br: 0.7010 0.8505 0.3143
Br: 0.1495 0.2990 0.3143
Br: 0.1495 0.8505 0.3143
Br: 0.8505 0.7010 0.6857
Br: 0.2990 0.1495 0.6857
Br: 0.8505 0.1495 0.6857

Results
- uncorrected formation energy (eV per atom) = -0.8489
- space-group type = P-3m1

=====

(2)
Compound: NaTmPd2
Source: Alexandria
Functional: PBE
Structure: relaxed

a b c (Å): 4.7963 4.7963 4.7963
angles (deg): 60.00 60.00 60.00
Atoms (fractional coordinates):
Na: 0.5000 0.5000 0.5000
Tm: 0.0000 0.0000 0.0000
Pd: 0.2500 0.2500 0.2500
Pd: 0.7500 0.7500 0.7500

Results
- DFT formation energy (meV per atom) = -538
- E above lowest polymorph (eV per atom) = 0.043
- space-group type = Fm-3m

=====

(3)
Compound: MnTcCl2
Source: Alexandria
Functional: PBE
Structure: relaxed

a b c (Å): 3.1490 3.1490 8.6615
angles (deg): 90.00 90.00 123.75
Last column: magnetic moment on the atom in μB.
Atoms (fractional coordinates):
Mn: 0.5000 0.5000 0.2500  4.06
Tc: 0.5000 0.5000 0.7500  0.17
Cl: 0.0000 0.0000 0.9711  0.03
Cl: 0.0000 0.0000 0.5289  0.03

Results
- E above lowest polymorph (eV per atom) = 0.586
- uncorrected formation energy (eV per atom) = 0.3882
- space-group type = Cmmm

=====

(4)
Compound: InAsIO2
Source: Alexandria
Functional: PBE
Structure: relaxed

a b c (Å): 4.1424 4.1424 5.7733
angles (deg): 90.00 90.00 90.00
Atoms (fractional coordinates):
I: 0.0000 0.0000 0.5000
As: 0.0000 0.0000 0.0000
O: 0.0000 0.5000 0.0000
O: 0.5000 0.0000 0.0000
In: 0.5000 0.5000 0.5000

Results
- E above lowest polymorph (eV per atom) = 0.000
- uncorrected formation energy (eV per atom) = -0.1224
- space-group type = P4/mmm

=====

(5)
Compound: Tb6SmDy4
Source: Alexandria
Functional: PBE
Structure: relaxed

a b c (Å): 7.5636 7.5636 8.5026
angles (deg): 116.41 116.41 90.00
Atoms (fractional coordinates):
Tb: 0.9237 0.4493 0.3730
Tb: 0.4493 0.9237 0.3730
Tb: 0.5507 0.5507 0.6270
Tb: 0.0000 0.5000 0.0000
Tb: 0.0763 0.0763 0.6270
Tb: 0.5000 0.0000 0.0000
Sm: 0.5000 0.5000 0.0000
Dy: 0.0873 0.7564 0.8437
Dy: 0.9127 0.9127 0.1563
Dy: 0.7564 0.0873 0.8437
Dy: 0.2436 0.2436 0.1563

Results
- DFT formation energy (meV per atom) = 423
- E above lowest polymorph (eV per atom) = 0.298
- space-group type = I-42m

=====

(6)
Compound: TlZnGa
Source: Alexandria
Functional: PBE
Structure: relaxed

a b c (Å): 4.0774 4.0766 7.9518
angles (deg): 90.01 89.99 89.95
Atoms (fractional coordinates):
Zn: 0.5663 0.2704 0.5337
Zn: 0.0662 0.7705 0.0795
Tl: 0.5666 0.2702 0.9397
Tl: 0.0667 0.7702 0.6737
Ga: 0.0666 0.2701 0.3065
Ga: 0.5665 0.7701 0.3065

Results
- DFT formation energy (meV per atom) = 74
- space-group type = P4/nmm

=====

(7)
Compound: Cs2TaAuSe4
Source: Alexandria
Functional: PBE
Structure: relaxed

a b c (Å): 6.0279 8.1115 13.1960
angles (deg): 85.13 76.80 68.19
Atoms (fractional coordinates):
Cs: 0.1782 0.0000 0.6435
Cs: 0.8218 0.0000 0.3565
Cs: 0.5718 0.5000 0.8565
Cs: 0.9282 0.5000 0.1435
Ta: 0.2500 0.5000 0.5000
Ta: 0.5000 0.0000 0.0000
Au: 0.7500 0.5000 0.5000
Au: 0.0000 0.0000 0.0000
Se: 0.3193 0.8062 0.1117
Se: 0.2371 0.1938 0.8883
Se: 0.8745 0.8062 0.8883
Se: 0.5691 0.1938 0.1117
Se: 0.4307 0.6938 0.3883
Se: 0.5129 0.3062 0.6117
Se: 0.8755 0.6938 0.6117
Se: 0.1809 0.3062 0.3883

Results
- uncorrected formation energy (eV per atom) = -0.9515
- space-group type = Fddd

=====

(8)
Compound: Y3Cd7In2
Source: Alexandria
Functional: PBE
Structure: relaxed

a b c (Å): 5.9761 5.9761 10.1610
angles (deg): 72.90 72.90 60.00
Atoms (fractional coordinates):
Y: 0.0000 0.0000 0.0000
Y: 0.8576 0.8576 0.4271
Y: 0.1424 0.1424 0.5729
Cd: 0.5000 0.5000 0.5000
Cd: 0.9218 0.4091 0.2601
Cd: 0.4091 0.9218 0.2601
Cd: 0.4091 0.4091 0.2601
Cd: 0.0782 0.5909 0.7399
Cd: 0.5909 0.5909 0.7399
Cd: 0.5909 0.0782 0.7399
In: 0.6648 0.6648 0.0055
In: 0.3352 0.3352 0.9945

Results
- DFT formation energy (meV per atom) = -208
- space-group type = R-3m

=====

(9)
Compound: Hf2NpCd
Source: Alexandria
Functional: PBE
Structure: relaxed

a b c (Å): 3.1790 3.1790 10.4137
angles (deg): 81.22 81.22 60.00
Last column: magnetic moment on the atom in μB.
Atoms (fractional coordinates):
Np: 0.0000 0.0000 0.0000  3.29
Hf: 0.2503 0.2503 0.2490  -0.03
Hf: 0.7497 0.7497 0.7510  -0.03
Cd: 0.5000 0.5000 0.5000  0.00

Results
- DFT formation energy (meV per atom) = 211
- E above lowest polymorph (eV per atom) = 0.014
- space-group type = R-3m

=====

(10)
Compound: Li3CdH
Source: Alexandria
Functional: PBE
Structure: relaxed

a b c (Å): 5.1995 5.1995 5.1995
angles (deg): 90.00 90.00 90.00
Atoms (fractional coordinates):
H: 0.5000 0.5000 0.5000
Li: 0.0000 0.5000 0.0000
Li: 0.0000 0.0000 0.5000
Li: 0.5000 0.0000 0.0000
Cd: 0.0000 0.0000 0.0000

Results
- E above lowest polymorph (eV per atom) = 0.861
- space-group type = Pm-3m

=====

(11)
Compound: GaAgHgAu
Source: Alexandria
Functional: PBE
Structure: relaxed

a b c (Å): 4.8041 4.8041 4.8041
angles (deg): 60.00 60.00 60.00
Atoms (fractional coordinates):
Ga: 0.7500 0.7500 0.7500
Au: 0.5000 0.5000 0.5000
Hg: 0.0000 0.0000 0.0000
Ag: 0.2500 0.2500 0.2500

Results
- DFT formation energy (meV per atom) = 33
- space-group type = F-43m

=====

(12)
Compound: ZnBr2
Source: Alexandria
Functional: PBE
Structure: relaxed

a b c (Å): 6.3744 6.3744 6.3744
angles (deg): 60.00 60.00 60.00
Last column: magnetic moment on the atom in μB.
Atoms (fractional coordinates):
Zn: 0.5000 0.5000 0.5000  0.23
Zn: 0.7500 0.7500 0.7500  0.23
Br: 0.6250 0.1250 0.1250  0.32
Br: 0.1250 0.6250 0.1250  0.32
Br: 0.1250 0.1250 0.6250  0.32
Br: 0.1250 0.1250 0.1250  0.32

Results
- uncorrected formation energy (eV per atom) = 0.6139
- space-group type = Fd-3m

=====

(13)
Compound: CaAgTe2
Source: Alexandria
Functional: PBE
Structure: relaxed

a b c (Å): 9.4707 9.4707 9.4707
angles (deg): 25.60 25.60 25.60
Atoms (fractional coordinates):
Ca: 0.0000 0.0000 0.0000
Te: 0.8911 0.8911 0.8911
Te: 0.1089 0.1089 0.1089
Ag: 0.5000 0.5000 0.5000

Results
- uncorrected formation energy (eV per atom) = -0.1208
- space-group type = R-3m

=====

(14)
Compound: Tb2SmSnC
Source: Alexandria
Functional: PBE
Structure: relaxed

a b c (Å): 5.0224 4.9273 4.9273
angles (deg): 90.00 90.00 90.00
Atoms (fractional coordinates):
Tb: 0.0000 0.0000 0.5000
Tb: 0.0000 0.5000 0.0000
Sm: 0.5000 0.0000 0.0000
Sn: 0.5000 0.5000 0.5000
C: 0.0000 0.0000 0.0000

Results
- DFT formation energy (meV per atom) = -583
- space-group type = P4/mmm

=====

(15)
Compound: Pu2Be2AsP2
Source: Alexandria
Functional: PBE
Structure: relaxed

a b c (Å): 3.8318 5.6379 7.4159
angles (deg): 61.65 90.00 70.13
Last column: magnetic moment on the atom in μB.
Atoms (fractional coordinates):
Pu: 0.5186 0.9631 0.7284  5.27
Pu: 0.4814 0.0369 0.2716  5.27
Be: 0.7877 0.4256 0.6536  0.03
Be: 0.2123 0.5744 0.3464  0.03
As: 0.0000 0.0000 0.0000  -0.13
P: 0.8201 0.3593 0.3801  -0.09
P: 0.1799 0.6407 0.6199  -0.09

Results
- DFT formation energy (meV per atom) = -599
- space-group type = C2/m

=====

(16)
Compound: VTePb2
Source: Alexandria
Functional: PBE
Structure: relaxed

a b c (Å): 4.3926 4.3926 12.1593
angles (deg): 79.59 79.59 90.00
Last column: magnetic moment on the atom in μB.
Atoms (fractional coordinates):
Pb: 0.6258 0.1250 0.2500  0.01
Pb: 0.1242 0.6250 0.2500  0.01
Pb: 0.3750 0.3742 0.7500  0.01
Pb: 0.8750 0.8758 0.7500  0.01
Te: 0.0000 0.0000 0.0000  -0.05
Te: 0.7500 0.2500 0.5000  -0.05
V: 0.5000 0.5000 0.0000  2.83
V: 0.2500 0.7500 0.5000  2.83

Results
- uncorrected formation energy (eV per atom) = 0.3647
- space-group type = I-42d

=====

(17)
Compound: Rb3Ho3MoS8
Source: Alexandria
Functional: PBE
Structure: relaxed

a b c (Å): 7.8425 7.8425 9.0576
angles (deg): 115.69 90.00 120.01
Last column: magnetic moment on the atom in μB.
Atoms (fractional coordinates):
Rb: 0.0000 0.0000 0.0000  0.00
Rb: 0.0000 0.5000 0.0000  0.00
Rb: 0.5000 0.5000 0.0000  0.00
Ho: 0.5000 0.0000 0.5000  0.03
Ho: 0.5000 0.5000 0.5000  0.03
Ho: 0.0000 0.5000 0.5000  0.03
Mo: 0.0000 0.0000 0.5000  1.66
S: 0.2693 0.5386 0.3080  0.00
S: 0.7307 0.4614 0.6920  0.00
S: 0.7855 0.5711 0.3198  0.00
S: 0.2145 0.4289 0.6802  0.00
S: 0.7856 0.0340 0.3198  0.00
S: 0.2144 0.9660 0.6802  0.00
S: 0.2484 0.0340 0.3198  0.00
S: 0.7516 0.9660 0.6802  0.00

Results
- uncorrected formation energy (eV per atom) = -1.5335
- space-group type = R-3m

=====

(18)
Compound: SrTh2CuN4
Source: Alexandria
Functional: PBE
Structure: relaxed

a b c (Å): 3.7055 6.2973 12.0601
angles (deg): 90.00 90.00 107.11
Last column: magnetic moment on the atom in μB.
Atoms (fractional coordinates):
Sr: 0.0915 0.1830 0.7500  0.00
Sr: 0.9085 0.8170 0.2500  0.00
Th: 0.3677 0.7353 0.5579  0.01
Th: 0.6323 0.2647 0.0579  0.01
Th: 0.6323 0.2647 0.4421  0.01
Th: 0.3677 0.7353 0.9421  0.01
Cu: 0.8177 0.6354 0.7500  0.09
Cu: 0.1823 0.3646 0.2500  0.09
N: 0.2561 0.5122 0.1062  0.03
N: 0.7439 0.4878 0.6062  0.03
N: 0.7439 0.4878 0.8938  0.03
N: 0.2561 0.5122 0.3938  0.03
N: 0.0000 0.0000 0.5000  0.01
N: 0.0000 0.0000 0.0000  0.01
N: 0.4256 0.8512 0.7500  0.06
N: 0.5744 0.1488 0.2500  0.06

Results
- uncorrected formation energy (eV per atom) = -0.9989
- space-group type = Cmcm

=====

(19)
Compound: ThUTe2
Source: Alexandria
Functional: PBE
Structure: relaxed

a b c (Å): 3.9156 3.9156 10.6203
angles (deg): 79.38 79.38 60.00
Last column: magnetic moment on the atom in μB.
Atoms (fractional coordinates):
Te: 0.0998 0.0998 0.7007  -0.07
Te: 0.9002 0.9002 0.2993  -0.07
U: 0.5000 0.5000 0.5000  2.61
Th: 0.0000 0.0000 0.0000  0.11

Results
- E above lowest polymorph (eV per atom) = 0.476
- uncorrected formation energy (eV per atom) = -0.2538
- space-group type = R-3m

=====

(20)
Compound: SrSc2Al
Source: Alexandria
Functional: PBE
Structure: relaxed

a b c (Å): 5.7516 5.7516 5.7516
angles (deg): 131.67 131.67 70.75
Last column: magnetic moment on the atom in μB.
Atoms (fractional coordinates):
Sc: 0.0000 0.0000 0.0000  0.07
Sc: 0.2500 0.7500 0.5000  0.06
Sr: 0.5000 0.5000 0.0000  0.01
Al: 0.7500 0.2500 0.5000  0.00

Results
- DFT formation energy (meV per atom) = 120
- space-group type = I-4m2

=====

(21)
Compound: Re2POs
Source: Alexandria
Functional: PBE
Structure: relaxed

a b c (Å): 4.3417 4.3417 4.3417
angles (deg): 60.00 60.00 60.00
Atoms (fractional coordinates):
Re: 0.0000 0.0000 0.0000
Re: 0.2500 0.2500 0.2500
P: 0.7500 0.7500 0.7500
Os: 0.5000 0.5000 0.5000

Results
- DFT formation energy (meV per atom) = 468
- space-group type = F-43m

=====

(22)
Compound: TbPr2PaP4
Source: Alexandria
Functional: PBE
Structure: relaxed

a b c (Å): 4.0930 7.0584 7.1156
angles (deg): 109.38 90.00 90.00
Atoms (fractional coordinates):
Tb: 0.0000 0.0000 0.0000
Pr: 0.5000 0.0000 0.5000
Pr: 0.0000 0.5000 0.5000
Pa: 0.5000 0.5000 0.0000
P: 0.5000 0.2510 0.2341
P: 0.5000 0.7490 0.7659
P: 0.0000 0.2601 0.7676
P: 0.0000 0.7399 0.2324

Results
- DFT formation energy (meV per atom) = -1502
- space-group type = P2/m

=====

no.,magnetization (μB/f.u.)
1,0.0
2,0.0
3,4.6
4,0.0
5,0.0
6,0.0
7,0.0
8,0.0
9,3.3
10,0.0
11,0.0
12,1.2
13,0.0
14,0.0
15,10.8
16,3.4
17,2.0
18,0.3
19,3.2
20,0.2
21,0.0
22,0.0